No. 1
! BaTiF2 (PBE-GGA, relaxed); values from VASP
! - formation energy without anion corrections (meV/atom) = -1941
! - E above lowest polymorph (eV/atom) = 0.254
&SYSTEM
  ibrav = 0, nat = 8, ntyp = 3
/
ATOMIC_SPECIES
F 19.00 F.upf
Ba 137.33 Ba.upf
Ti 47.87 Ti.upf
ATOMIC_POSITIONS crystal
F 0.316 0.625 0.250
F 0.434 0.125 0.250
F 0.875 0.684 0.750
F 0.375 0.566 0.750
Ba 0.750 0.250 0.500
Ba 0.000 0.000 0.000
Ti 0.500 0.500 0.000
Ti 0.250 0.750 0.500
CELL_PARAMETERS angstrom
5.054 0.000 0.000
0.000 5.054 0.000
2.527 2.527 6.556



No. 2
! KSr3Al (PBE-GGA, relaxed); values from VASP
! - ΔE_f (eV/atom) = 0.9837
! - E above lowest polymorph (eV/atom) = 0.910
&SYSTEM
  ibrav = 0, nat = 5, ntyp = 3
/
ATOMIC_SPECIES
K 39.10 K.upf
Sr 87.62 Sr.upf
Al 26.98 Al.upf
ATOMIC_POSITIONS crystal
K 0.000 0.000 0.000
Sr 0.500 0.000 0.000
Sr 0.000 0.000 0.500
Sr 0.000 0.500 0.000
Al 0.500 0.500 0.500
CELL_PARAMETERS angstrom
-2.261 0.525 -6.221
2.068 -6.180 -1.273
-5.891 -2.371 1.941



No. 3
! Ac4Pd2Ru (PBE-GGA, relaxed); values from VASP
! - ΔE_f (eV/atom) = -0.3230
! - E above lowest polymorph (eV/atom) = 0.171
&SYSTEM
  ibrav = 0, nat = 7, ntyp = 3
/
ATOMIC_SPECIES
Ac 227.00 Ac.upf
Pd 106.42 Pd.upf
Ru 101.07 Ru.upf
ATOMIC_POSITIONS crystal
Ac 0.193 0.193 0.386
Ac 0.807 0.807 0.614
Ac 0.500 0.000 0.000
Ac 0.000 0.500 0.000
Pd 0.619 0.619 0.238
Pd 0.381 0.381 0.762
Ru 0.000 0.000 0.000
CELL_PARAMETERS angstrom
-2.784 -1.124 -4.653
-4.349 -1.654 3.002
0.792 8.552 0.755



No. 4
! Sc3Si3Ni2 (PBE-GGA, relaxed); values from VASP
! - formation energy without anion corrections (meV/atom) = -839
! - E above lowest polymorph (eV/atom) = 0.040
&SYSTEM
  ibrav = 0, nat = 32, ntyp = 3
/
ATOMIC_SPECIES
Si 28.09 Si.upf
Sc 44.96 Sc.upf
Ni 58.69 Ni.upf
ATOMIC_POSITIONS crystal
Si 0.614 0.303 0.460
Si 0.114 0.197 0.540
Si 0.895 0.830 0.750
Si 0.886 0.803 0.460
Si 0.395 0.670 0.250
Si 0.386 0.697 0.960
Si 0.105 0.170 0.250
Si 0.605 0.330 0.750
Si 0.886 0.803 0.040
Si 0.114 0.197 0.960
Si 0.614 0.303 0.040
Si 0.386 0.697 0.540
Sc 0.126 0.461 0.388
Sc 0.626 0.039 0.888
Sc 0.874 0.539 0.612
Sc 0.380 0.685 0.750
Sc 0.374 0.961 0.388
Sc 0.626 0.039 0.612
Sc 0.880 0.815 0.250
Sc 0.374 0.961 0.112
Sc 0.120 0.185 0.750
Sc 0.620 0.315 0.250
Sc 0.874 0.539 0.888
Sc 0.126 0.461 0.112
Ni 0.382 0.409 0.899
Ni 0.118 0.909 0.601
Ni 0.118 0.909 0.899
Ni 0.618 0.591 0.101
Ni 0.882 0.091 0.399
Ni 0.882 0.091 0.101
Ni 0.382 0.409 0.601
Ni 0.618 0.591 0.399
CELL_PARAMETERS angstrom
-0.604 2.304 -4.663
-7.337 -0.271 0.816
0.211 11.877 5.840



No. 5
! LiIn5Ag2 (PBE-GGA, relaxed); values from VASP
! - ΔE_f (eV/atom) = 0.0048
&SYSTEM
  ibrav = 0, nat = 16, ntyp = 3
/
ATOMIC_SPECIES
Li 6.94 Li.upf
In 114.82 In.upf
Ag 107.87 Ag.upf
ATOMIC_POSITIONS crystal
Li 0.225 0.450 0.250
Li 0.775 0.550 0.750
In 0.932 0.864 0.927
In 0.365 0.730 0.750
In 0.364 0.728 0.089
In 0.364 0.728 0.411
In 0.636 0.272 0.911
In 0.932 0.864 0.573
In 0.068 0.136 0.427
In 0.068 0.136 0.073
In 0.636 0.272 0.589
In 0.635 0.270 0.250
Ag 0.227 0.454 0.917
Ag 0.227 0.454 0.583
Ag 0.773 0.546 0.083
Ag 0.773 0.546 0.417
CELL_PARAMETERS angstrom
-1.551 4.334 -1.293
-2.387 -0.647 9.536
7.914 3.495 2.218



No. 6
! Na4AgSn (PBE-GGA, relaxed); values from VASP
! - ΔE_f (eV/atom) = -0.0838
! - E above lowest polymorph (eV/atom) = 0.000
&SYSTEM
  ibrav = 0, nat = 12, ntyp = 3
/
ATOMIC_SPECIES
Sn 118.71 Sn.upf
Na 22.99 Na.upf
Ag 107.87 Ag.upf
ATOMIC_POSITIONS crystal
Sn 0.250 0.371 0.757
Sn 0.750 0.629 0.243
Na 0.250 0.787 0.418
Na 0.750 0.213 0.582
Na 0.750 0.044 0.916
Na 0.250 0.956 0.084
Na 0.250 0.460 0.084
Na 0.250 0.295 0.418
Na 0.750 0.705 0.582
Na 0.750 0.540 0.916
Ag 0.750 0.121 0.259
Ag 0.250 0.879 0.741
CELL_PARAMETERS angstrom
-4.898 2.165 -0.708
-1.285 -1.005 5.828
2.723 7.825 5.092